Entry 1:
An optimized crystal structure of SiB2Pt8, computed with GGA-PBE.

Summary:
**E_form (uncorrected)**: -312 kJ/mol of formula units
**Density of states at the Fermi level**: 0.41 states/eV/atom
**Symmetry**: No. 12

Cell lengths 7.8810, 7.8810, 6.0214 Å; angles 94.47, 94.47, 25.38 degrees
With the nearest neighbours (Å) after each atom.
Sites, in units of the cell vectors:
Si  0.0000  0.0000  0.0000  6 Pt 2.36-2.46
B  0.2815  0.2815  0.7512  7 Pt 2.20-2.38
B  0.7185  0.7185  0.2488  7 Pt 2.20-2.38
Pt  0.0643  0.0643  0.6568  1 Si 2.36, 1 Pt 2.62
Pt  0.1804  0.1804  0.0303  3 B 2.22-2.38
Pt  0.3026  0.3026  0.3950  3 B 2.20-2.29
Pt  0.4303  0.4303  0.7561  1 B 2.29, 2 Si 2.46
Pt  0.5697  0.5697  0.2439  1 B 2.29, 2 Si 2.46
Pt  0.6974  0.6974  0.6050  3 B 2.20-2.29
Pt  0.8196  0.8196  0.9697  3 B 2.22-2.38
Pt  0.9357  0.9357  0.3432  1 Si 2.36, 1 Pt 2.62



Entry 2:
An optimized crystal structure of Ag2AsRu2, computed with GGA-PBE.

Summary:
**Energy above the most stable polymorph in this dataset**: 506 meV/atom
**Formation energy from the elements**: 0.7158 eV per atom
**Density of states at the Fermi level**: 0.80 states/eV/atom
**Symmetry**: No. 139

Cell lengths 8.1492, 8.1492, 8.1492 Å; angles 155.62, 155.62, 34.76 degrees
With the nearest neighbours (Å) after each atom.
Sites, in units of the cell vectors:
Ag  0.0992  0.0992  0.0000  4 As 2.88, 4 Ru 2.91, 1 Ag 3.09
Ag  0.9008  0.9008  0.0000  4 As 2.88, 4 Ru 2.91, 1 Ag 3.09
As  0.5000  0.5000  0.0000  8 Ag 2.88
Ru  0.2500  0.7500  0.5000  4 Ru 2.43
Ru  0.7500  0.2500  0.5000  4 Ru 2.43



Which value of density of states at the Fermi level does entry 2 give?
0.80 states/eV/atom



Among the records above, which one has the lowest density of states at the Fermi level?
SiB2Pt8



Which formula does entry 1 have?
SiB2Pt8